# 1
{
  "formula": "La2MgHg4",
  "functional": "PBE",
  "state": "relaxed",
  "cell": [[-0.413, -4.518, -2.375], [3.616, -1.941, 3.062], [-4.177, -5.523, 5.714]],
  "species": ["La", "Hg", "La", "Hg", "Mg", "Hg", "Hg"],
  "frac_coords": [[0.368, 0.368, 0.263], [0.176, 0.176, 0.648], [0.632, 0.632, 0.737], [0.824, 0.824, 0.352], [0.000, 0.000, 0.000], [0.500, 0.000, 0.000], [0.000, 0.500, 0.000]],
  "sg": "I4/mmm (139)",
  "magmom_total_mub_per_cell": 0.00,
  "energy_ev_per_cell": -13.90,
  "density_g_cm3": 8.51,
  "e_form_ev_per_atom": -0.178,
  "n_ef_per_ev_cell": 8.80,
  "relative_energy_ev_per_atom": 0.204
}

# 2
{
  "formula": "In2NiP",
  "functional": "PBE",
  "state": "relaxed",
  "cell": [[3.048, 0.000, 0.000], [0.000, 3.048, 0.000], [0.000, 0.000, 7.818]],
  "species": ["In", "Ni", "In", "P"],
  "frac_coords": [[0.000, 0.000, 0.219], [0.500, 0.500, 0.000], [0.000, 0.000, 0.781], [0.500, 0.500, 0.500]],
  "sg": "P4/mmm (123)",
  "magmom_total_mub_per_cell": 0.00,
  "energy_ev_per_cell": -15.63,
  "density_g_cm3": 7.30,
  "e_form_ev_per_atom": 0.260,
  "n_ef_per_ev_cell": 2.40
}

# 3
{
  "formula": "Si3PtW",
  "functional": "PBE",
  "state": "relaxed",
  "cell": [[-4.611, -0.587, -0.590], [0.809, -2.390, -3.949], [0.194, -3.988, 2.453]],
  "species": ["Pt", "Si", "W", "Si", "Si"],
  "frac_coords": [[0.500, 0.500, 0.500], [0.500, 0.000, 0.000], [0.000, 0.000, 0.000], [0.000, 0.500, 0.000], [0.000, 0.000, 0.500]],
  "sg": "Pm-3m (221)",
  "magmom_total_mub_per_cell": 0.00,
  "energy_ev_per_cell": -30.73,
  "density_g_cm3": 7.47,
  "raw_formation_energy_ev_per_atom": 0.9066,
  "n_ef_per_ev_cell": 2.83,
  "relative_energy_ev_per_atom": 0.000
}

# 4
{
  "formula": "EuTm2C",
  "functional": "PBE",
  "state": "relaxed",
  "cell": [[-1.121, -0.133, -3.347], [0.810, -2.778, -2.025], [-8.232, -5.456, 1.110]],
  "species": ["Eu", "Tm", "C", "Tm"],
  "frac_coords": [[0.000, 0.000, 0.000], [0.879, 0.879, 0.364], [0.500, 0.500, 0.500], [0.121, 0.121, 0.636]],
  "sg": "R-3m (166)",
  "magmom_total_mub_per_cell": 7.23,
  "energy_ev_per_cell": -29.01,
  "density_g_cm3": 7.93,
  "e_form_ev_per_atom": -0.142,
  "n_ef_per_ev_cell": 2.38
}

# 5
{
  "formula": "DyY5Er7",
  "functional": "PBE",
  "state": "relaxed",
  "cell": [[-3.676, 1.153, -5.484], [-0.802, -6.984, -5.026], [-8.372, -1.816, 1.136]],
  "species": ["Y", "Er", "Dy", "Er", "Er", "Y", "Er", "Y", "Er", "Y", "Er", "Er", "Y"],
  "frac_coords": [[0.538, 0.007, 0.455], [0.020, 0.310, 0.650], [0.967, 0.033, 0.033], [0.574, 0.426, 0.426], [0.518, 0.153, 0.811], [0.768, 0.732, 0.732], [0.518, 0.811, 0.153], [0.538, 0.455, 0.007], [0.271, 0.729, 0.729], [0.000, 0.007, 0.455], [0.269, 0.231, 0.231], [0.020, 0.650, 0.310], [0.000, 0.455, 0.007]],
  "sg": "Imm2 (44)",
  "magmom_total_mub_per_cell": 0.02,
  "energy_ev_per_cell": -65.25,
  "density_g_cm3": 6.95,
  "e_form_ev_per_atom": 0.278,
  "n_ef_per_ev_cell": 25.53
}

# 6
{
  "formula": "ThFeCoSi3",
  "functional": "PBE",
  "state": "relaxed",
  "cell": [[-4.698, -3.366, -0.687], [3.280, -3.909, -3.282], [-0.296, -0.887, 6.369]],
  "species": ["Si", "Si", "Si", "Th", "Fe", "Co", "Th", "Si", "Co", "Si", "Fe", "Si"],
  "frac_coords": [[0.750, 0.786, 0.572], [0.000, 0.710, 0.000], [0.000, 0.290, 0.000], [0.750, 0.230, 0.459], [0.250, 0.027, 0.053], [0.250, 0.398, 0.797], [0.250, 0.770, 0.541], [0.500, 0.710, 0.000], [0.750, 0.602, 0.203], [0.500, 0.290, 0.000], [0.750, 0.973, 0.947], [0.250, 0.214, 0.428]],
  "sg": "Cmcm (63)",
  "magmom_total_mub_per_cell": 0.80,
  "energy_ev_per_cell": -83.30,
  "density_g_cm3": 7.14,
  "raw_formation_energy_ev_per_atom": -0.3988,
  "n_ef_per_ev_cell": 7.59
}

Q: Which formula does entry 2 have?
A: In2NiP